This record from Alexandria via LeMat-Bulk describes a relaxed structure of ReRhW2. The functional is PBE.

Unit cell a=6.2926 b=6.2926 c=6.2926 alpha=90.00 beta=90.00 gamma=90.00
Closest atoms and distances in Å follow each position.
Space group F-43m (No. 216)
Symmetry-distinct sites (fractional):
Re  0.0000  0.0000  0.0000 (multiplicity 4)  4 W 2.72, 4 Rh 2.72
Rh  0.2500  0.2500  0.2500 (multiplicity 4)  4 W 2.72, 4 Re 2.72
W  0.0000  0.0000  0.5000 (multiplicity 4)  4 W 2.72, 4 Rh 2.72
W  0.2500  0.2500  0.7500 (multiplicity 4)  4 Re 2.72, 4 W 2.72

Calculated values
Final energy   -178.431 eV/cell
Calculated formation energy   6.33 kcal/mol of atoms
Excess energy over the best structure of this formula in the dataset   0.2618 eV/atom